No. 1
Density functional theory data (GGA-PBE) for crystalline MgPPbO2 at its relaxed geometry.

Cell and atoms, written as POSCAR:
```
MgPPbO2
1.0
3.983 0.000 0.000
0.000 3.983 0.000
0.000 0.000 5.310
P O Mg Pb
1 2 1 1
direct
0.000 0.000 0.500
0.000 0.500 0.000
0.500 0.000 0.000
0.000 0.000 0.000
0.500 0.500 0.500
```

ΔE to the lowest computed polymorph (meV per atom): 0


No. 2
Density functional theory data (GGA-PBE) for crystalline MgPPdO2 at its relaxed geometry.

Cell and atoms, written as POSCAR:
```
MgPPdO2
1.0
3.927 0.000 0.000
0.000 3.927 0.000
0.000 0.000 4.987
O Mg Pd P
2 1 1 1
direct
0.000 0.500 0.000
0.500 0.000 0.000
0.500 0.500 0.500
0.000 0.000 0.000
0.000 0.000 0.500
```

ΔE to the lowest computed polymorph (meV per atom): 43


No. 3
Density functional theory data (GGA-PBE) for crystalline MgP2PdO at its relaxed geometry.

Cell and atoms, written as POSCAR:
```
MgP2PdO
1.0
4.891 0.000 0.000
0.000 4.891 0.000
0.000 0.000 3.588
P Pd Mg O
2 1 1 1
direct
0.000 0.500 0.000
0.500 0.000 0.000
0.500 0.500 0.500
0.000 0.000 0.000
0.000 0.000 0.500
```

ΔE to the lowest computed polymorph (meV per atom): 135


No. 4
Density functional theory data (GGA-PBE) for crystalline MgPPdO2 at its relaxed geometry.

Cell and atoms, written as POSCAR:
```
MgPPdO2
1.0
3.724 0.000 0.000
0.000 3.724 0.000
0.000 0.000 5.652
Pd O Mg P
1 2 1 1
direct
0.500 0.500 0.500
0.000 0.500 0.000
0.500 0.000 0.000
0.000 0.000 0.000
0.000 0.000 0.500
```

ΔE to the lowest computed polymorph (meV per atom): 0


No. 5
Density functional theory data (GGA-PBE) for crystalline MgPPd2O at its relaxed geometry.

Cell and atoms, written as POSCAR:
```
MgPPd2O
1.0
-0.141 -3.316 3.512
2.419 -1.925 -1.721
3.523 2.333 2.344
Pd Mg P O
2 1 1 1
direct
0.000 0.000 0.500
0.500 0.000 0.000
0.000 0.000 0.000
0.500 0.500 0.500
0.000 0.500 0.000
```


No. 6
Density functional theory data (GGA-PBE) for crystalline MgP2PdO at its relaxed geometry.

Cell and atoms, written as POSCAR:
```
MgP2PdO
1.0
4.877 0.000 0.000
0.000 4.877 0.000
0.000 0.000 3.808
O Pd P Mg
1 1 2 1
direct
0.000 0.000 0.500
0.000 0.000 0.000
0.000 0.500 0.000
0.500 0.000 0.000
0.500 0.500 0.500
```

ΔE to the lowest computed polymorph (meV per atom): 0


No. 7
Density functional theory data (GGA-PBE) for crystalline Mg2PPdO at its relaxed geometry.

Cell and atoms, written as POSCAR:
```
Mg2PPdO
1.0
-4.589 -1.837 1.121
1.587 -2.847 1.828
-0.044 2.720 4.276
Pd O Mg P
1 1 2 1
direct
0.000 0.000 0.000
0.000 0.500 0.000
0.500 0.000 0.000
0.000 0.000 0.500
0.500 0.500 0.500
```


No. 8
Density functional theory data (GGA-PBE) for crystalline PmMgP2O8 at its relaxed geometry.

Cell and atoms, written as POSCAR:
```
PmMgP2O8
1.0
-4.113 0.526 -3.054
0.767 -4.408 2.550
-3.584 2.409 5.241
O Mg P Pm
8 1 2 1
direct
0.169 0.831 0.794
0.667 0.333 0.505
0.169 0.339 0.794
0.339 0.169 0.206
0.661 0.831 0.794
0.333 0.667 0.495
0.831 0.169 0.206
0.831 0.661 0.206
0.000 0.000 0.000
0.667 0.333 0.277
0.333 0.667 0.723
0.000 0.000 0.500
```


no.,raw formation energy (meV/atom)
1,-439
2,-59
3,405
4,-102
5,174
6,270
7,-110
8,-2534